Li2Ag2HgPd2 after structural relaxation, computed with PBE.

**Energy relative to the elements**: -228 meV/atom
**Magnetic moment**: 0.00 μB per formula unit
**VASP energy**: -3.12 eV per atom
**Fermi-level density of states**: 2.4 states/eV/f.u.

abc: 4.4583 4.4583 20.4492
angles: 90.00 90.00 120.00
With the nearest neighbours (Å) after each atom.
Space group R-3m (No. 166, hexagonal axes)
Asymmetric unit:
1 Li 0.0000 0.0000 0.0648 x6  1 Li 2.65, 3 Pd 2.66, 3 Ag 2.69
2 Ag 0.0000 0.0000 0.2295 x6  3 Li 2.69, 4 Pd 2.76-2.97, 3 Hg 2.88
3 Hg 0.0000 0.0000 0.5000 x3  2 Pd 2.77, 6 Ag 2.88
4 Pd 0.0000 0.0000 0.3644 x6  3 Li 2.66, 4 Ag 2.76-2.97, 1 Hg 2.77, 3 Pd 2.87